Entry 1:
A plane-wave DFT calculation with GGA-PBE was carried out for an optimized crystal structure of Pm12Ga2Sn5.

Cell lengths 17.883, 7.440, 10.000 Å; angles 90.00, 104.08, 90.00 degrees
Space group C2/m (No. 12)
Asymmetric unit:
Pm: 0.007 0.000 0.281 x4
Pm: 0.020 0.500 0.825 x4
Pm: 0.150 0.253 0.572 x8
Pm: 0.167 0.246 0.094 x8
Ga: 0.000 0.174 0.000 x4
Sn: 0.000 0.500 0.500 x2
Sn: 0.179 0.000 0.833 x4
Sn: 0.198 0.000 0.359 x4

Output
spin magnetization	0.00	μB per cell
ΔH_f (0 K)	-0.379	eV/atom
calculated density	6364	kg/m3
volume	1290.55	Å³ per cell

Entry 2:
A plane-wave DFT calculation with GGA-PBE was carried out for an optimized crystal structure of PmGaSn3.

Cell lengths 12.685, 6.325, 6.461 Å; angles 90.00, 90.00, 90.00 degrees
Space group Pbcm (No. 57)
Asymmetric unit:
Pm: 0.197 0.014 0.250 x4
Ga: 0.382 0.250 0.000 x4
Sn: 0.001 0.750 0.000 x4
Sn: 0.238 0.520 0.250 x4
Sn: 0.438 0.651 0.750 x4

Output
spin magnetization	0.00	μB per cell
ΔH_f (0 K)	-0.344	eV/atom
calculated density	7315	kg/m3
volume	518.37	Å³ per cell

Entry 3:
A plane-wave DFT calculation with GGA-PBE was carried out for an optimized crystal structure of PmGa2Sn.

Cell lengths 3.730, 3.730, 6.705 Å; angles 90.00, 90.00, 90.00 degrees
Space group P4/mmm (No. 123)
Asymmetric unit:
Pm: 0.000 0.000 0.000 x1
Ga: 0.500 0.500 0.284 x2
Sn: 0.000 0.000 0.500 x1

Output
energy above the most stable polymorph in this dataset	193.6	meV per atom
spin magnetization	0.00	μB per cell
ΔH_f (0 K)	-0.325	eV/atom
calculated density	7176	kg/m3
volume	93.30	Å³ per cell

Entry 4:
A plane-wave DFT calculation with GGA-PBE was carried out for an optimized crystal structure of PmGa2Sn.

Cell lengths 7.263, 7.263, 7.263 Å; angles 90.00, 90.00, 90.00 degrees
Space group Fm-3m (No. 225)
Asymmetric unit:
Pm: 0.000 0.000 0.000 x4
Ga: 0.250 0.250 0.250 x8
Sn: 0.000 0.000 0.500 x4

Output
energy above the most stable polymorph in this dataset	251.3	meV per atom
spin magnetization	0.00	μB per cell
ΔH_f (0 K)	-0.268	eV/atom
calculated density	6990	kg/m3
volume	383.07	Å³ per cell

Entry 5:
A plane-wave DFT calculation with GGA-PBE was carried out for an optimized crystal structure of Pm3GaSn6.

Cell lengths 9.627, 13.486, 9.587 Å; angles 90.00, 90.00, 90.00 degrees
Space group Cmc2_1 (No. 36)
Asymmetric unit:
Pm: 0.000 0.121 0.000 x4
Pm: 0.195 0.395 0.969 x8
Ga: 0.000 0.316 0.512 x4
Sn: 0.000 0.296 0.228 x4
Sn: 0.000 0.478 0.708 x4
Sn: 0.159 0.018 0.735 x8
Sn: 0.177 0.236 0.724 x8

Output
spin magnetization	0.00	μB per cell
ΔH_f (0 K)	-0.290	eV/atom
calculated density	6494	kg/m3
volume	1244.66	Å³ per cell

Entry 6:
A plane-wave DFT calculation with GGA-PBE was carried out for an optimized crystal structure of Pm2Ga3Sn2.

Cell lengths 8.893, 8.893, 8.893 Å; angles 90.00, 90.00, 90.00 degrees
Space group I2_13 (No. 199)
Asymmetric unit:
Pm: 0.003 0.003 0.003 x8
Ga: 0.000 0.250 0.240 x12
Sn: 0.194 0.306 0.694 x8

Output
spin magnetization	0.00	μB per cell
ΔH_f (0 K)	-0.371	eV/atom
calculated density	6957	kg/m3
volume	703.29	Å³ per cell

Entry 7:
A plane-wave DFT calculation with GGA-PBE was carried out for an optimized crystal structure of PmThGaSn.

Cell lengths 7.581, 7.581, 7.581 Å; angles 90.00, 90.00, 90.00 degrees
Space group F-43m (No. 216)
Asymmetric unit:
Pm: 0.000 0.000 0.000 x4
Th: 0.000 0.000 0.500 x4
Ga: 0.250 0.250 0.750 x4
Sn: 0.250 0.250 0.250 x4

Output
spin magnetization	0.00	μB per cell
ΔH_f (0 K)	-0.437	eV/atom
calculated density	8620	kg/m3
volume	435.75	Å³ per cell

Entry 8:
A plane-wave DFT calculation with GGA-PBE was carried out for an optimized crystal structure of Pm2Zn4Ga3Sn.

Cell lengths 4.286, 4.286, 10.901 Å; angles 90.00, 90.00, 90.00 degrees
Space group P-4m2 (No. 115)
Asymmetric unit:
Pm: 0.000 0.500 0.241 x2
Zn: 0.000 0.000 0.000 x1
Zn: 0.000 0.500 0.649 x2
Zn: 0.500 0.500 0.000 x1
Ga: 0.000 0.500 0.870 x2
Ga: 0.500 0.500 0.500 x1
Sn: 0.000 0.000 0.500 x1

Output
spin magnetization	0.00	μB per cell
ΔH_f (0 K)	-0.428	eV/atom
calculated density	7291	kg/m3
volume	200.30	Å³ per cell